Here is a relaxed Rh2WBr crystal from Alexandria via LeMat-Bulk. Energies are from PBEsol.

The structure in POSCAR format:
```
Rh2WBr
1.0
2.9289 0.0000 0.0000
0.0000 2.9289 0.0000
0.0000 0.0000 7.0476
Br Rh W
1 2 1
direct
0.5000 0.5000 0.7451 Br
0.0000 0.0000 0.9966 Rh
0.5000 0.5000 0.2645 Rh
0.0000 0.0000 0.4938 W
```

Results
V (Å³ per cell): 60
Relative energy among the computed polymorphs (meV per atom): 0
Formation energy (no corrections) (meV/atom): 479.4

Here is a relaxed TbGaPt crystal from Alexandria via LeMat-Bulk. Energies are from PBEsol.

The structure in POSCAR format:
```
TbGaPt
1.0
-2.3727 3.6751 -0.3535
-2.8559 -1.2581 6.0895
5.5404 3.9043 3.4051
Tb Ga Pt
4 4 4
direct
0.2500 0.4840 0.8027 Tb
0.7500 0.0160 0.3027 Tb
0.7500 0.5160 0.1973 Tb
0.2500 0.9840 0.6973 Tb
0.2500 0.3294 0.4243 Ga
0.7500 0.6706 0.5757 Ga
0.2500 0.8294 0.0757 Ga
0.7500 0.1706 0.9243 Ga
0.7500 0.2777 0.5979 Pt
0.7500 0.7777 0.9021 Pt
0.2500 0.2223 0.0979 Pt
0.2500 0.7223 0.4021 Pt
```

Results
V (Å³ per cell): 228
Formation energy (eV/f.u.): -3.4

Here is a relaxed CoIr2Se crystal from Alexandria via LeMat-Bulk. Energies are from PBEsol.

The structure in POSCAR format:
```
CoIr2Se
1.0
2.8415 0.0000 0.0000
0.0000 4.3647 0.0000
-1.4207 -2.1823 4.4179
Co Ir Se
1 2 1
direct
0.2289 0.7289 0.4577 Co
0.9938 0.9938 0.9875 Ir
0.7708 0.2708 0.5416 Ir
0.5065 0.5065 0.0131 Se
```

Results
V (Å³ per cell): 55
Formation energy (no corrections) (meV/atom): 417.1

Here is a relaxed LaAgOs crystal from Alexandria via LeMat-Bulk. Energies are from PBEsol.

The structure in POSCAR format:
```
LaAgOs
1.0
4.5970 0.0000 0.0000
2.2985 3.9811 0.0000
2.2985 1.3270 3.7534
Os Ag La
1 1 1
direct
0.2500 0.2500 0.2500 Os
0.0000 0.0000 0.0000 Ag
0.5000 0.5000 0.5000 La
```

Results
V (Å³ per cell): 69
Formation energy (eV/f.u.): 1.6

Here is a relaxed BaScOs crystal from Alexandria via LeMat-Bulk. Energies are from PBEsol.

The structure in POSCAR format:
```
BaScOs
1.0
4.6856 0.0000 0.0000
2.3428 4.0579 0.0000
2.3428 1.3526 3.8258
Ba Os Sc
1 1 1
direct
0.7500 0.7500 0.7500 Ba
0.0000 0.0000 0.0000 Os
0.5000 0.5000 0.5000 Sc
```

Results
V (Å³ per cell): 73
Formation energy (eV/f.u.): 4.6

Here is a relaxed NiTeRh2 crystal from Alexandria via LeMat-Bulk. Energies are from PBEsol.

The structure in POSCAR format:
```
NiTeRh2
1.0
3.0244 0.0000 0.0000
0.0000 3.6713 0.0000
0.0000 0.0000 5.3580
Ni Rh Te
1 2 1
direct
0.5000 0.5000 0.7805 Ni
0.0000 0.0000 0.9753 Rh
0.5000 0.5000 0.2524 Rh
0.0000 0.0000 0.4919 Te
```

Results
V (Å³ per cell): 59
Formation energy (no corrections) (meV/atom): 116.1

Here is a relaxed Li2InPb crystal from Alexandria via LeMat-Bulk. Energies are from PBEsol.

The structure in POSCAR format:
```
Li2InPb
1.0
-1.3067 1.7030 -2.6352
-3.9306 -2.9393 0.0495
-0.6905 3.0379 4.4975
Pb In Li
1 1 2
direct
0.5064 0.5346 0.0128 Pb
0.7413 0.2081 0.4827 In
0.9994 0.0267 0.9987 Li
0.2529 0.7307 0.5058 Li
```

Results
V (Å³ per cell): 84
Relative energy among the computed polymorphs (meV per atom): 56
Formation energy (eV/f.u.): -1.0

Here is a relaxed MgZrCrPb2 crystal from Alexandria via LeMat-Bulk. Energies are from PBEsol.

The structure in POSCAR format:
```
MgZrCrPb2
1.0
4.7078 0.0000 0.0000
0.0000 5.6122 0.0000
0.0000 0.0000 5.6122
Pb Cr Mg Zr
2 1 1 1
direct
0.0000 0.0000 0.5000 Pb
0.0000 0.5000 0.0000 Pb
0.5000 0.0000 0.0000 Cr
0.5000 0.5000 0.5000 Mg
0.0000 0.0000 0.0000 Zr
```

Results
V (Å³ per cell): 148
Formation energy (eV/f.u.): 4.5

Here is a relaxed MnZnSbTe2 crystal from Alexandria via LeMat-Bulk. Energies are from PBEsol.

The structure in POSCAR format:
```
MnZnSbTe2
1.0
4.9938 0.0000 0.0000
0.0000 5.0985 0.0000
0.0000 0.0000 5.0985
Sb Zn Te Mn
1 1 2 1
direct
0.5000 0.0000 0.0000 Sb
0.5000 0.5000 0.5000 Zn
0.0000 0.0000 0.5000 Te
0.0000 0.5000 0.0000 Te
0.0000 0.0000 0.0000 Mn
```

Results
V (Å³ per cell): 130
Relative energy among the computed polymorphs (meV per atom): 0
Formation energy (no corrections) (meV/atom): 457.0

Here is a relaxed La3Ir crystal from Alexandria via LeMat-Bulk. Energies are from PBEsol.

The structure in POSCAR format:
```
La3Ir
1.0
4.2644 0.0000 0.0000
0.0000 4.9041 0.0000
0.0000 0.0000 4.9041
Ir La
1 3
direct
0.0000 0.0000 0.0000 Ir
0.5000 0.0000 0.5000 La
0.5000 0.5000 0.0000 La
0.0000 0.5000 0.5000 La
```

Results
V (Å³ per cell): 103
Formation energy (eV/f.u.): -0.2

Here is a relaxed Sr2GaNi2 crystal from Alexandria via LeMat-Bulk. Energies are from PBEsol.

The structure in POSCAR format:
```
Sr2GaNi2
1.0
-0.6944 -0.9330 -3.1956
3.0698 -1.4423 -0.2460
-4.7881 -7.0172 4.8987
Sr Ga Ni
2 1 2
direct
0.3810 0.3810 0.7621 Sr
0.6190 0.6190 0.2379 Sr
0.0000 0.0000 0.0000 Ga
0.2500 0.7500 0.5000 Ni
0.7500 0.2500 0.5000 Ni
```

Results
V (Å³ per cell): 110
Formation energy (eV/f.u.): 0.5

Here is a relaxed KIn3Co crystal from Alexandria via LeMat-Bulk. Energies are from PBEsol.

The structure in POSCAR format:
```
KIn3Co
1.0
-3.5828 0.7821 3.3452
-3.3350 -1.9518 -3.1155
0.8244 -4.4963 1.9343
K Co In
1 1 3
direct
0.5000 0.5000 0.5000 K
0.0000 0.0000 0.0000 Co
0.0000 0.5000 0.0000 In
0.0000 0.0000 0.5000 In
0.5000 0.0000 0.0000 In
```

Results
V (Å³ per cell): 122
Formation energy (eV/f.u.): -0.4